# Sm5Ir3

Sm5Ir3 after structural relaxation (GGA-PBEsol, the Alexandria database).

Results
Magnetic moment = 0.0 μB/cell
Uncorrected energy = -7.51 eV/atom
D(E_F) = 20.5 states/eV/cell
E_form = -0.647 eV/atom

CIF file:
```
data_Sm5Ir3
_chemical_formula_sum 'Sm20 Ir12'
_cell_length_a 10.967
_cell_length_b 10.967
_cell_length_c 6.356
_cell_angle_alpha 90.00
_cell_angle_beta 90.00
_cell_angle_gamma 90.00
_symmetry_space_group_name_H-M 'P 4/n c c'
_symmetry_Int_Tables_number 130
loop_
_symmetry_equiv_pos_as_xyz
'x,y,z'
'-x,-y,-z'
'-y+1/2,x,z'
'y+1/2,-x,-z'
'-x+1/2,-y+1/2,z'
'x+1/2,y+1/2,-z'
'y,-x+1/2,z'
'-y,x+1/2,-z'
'x+1/2,-y,-z+1/2'
'-x+1/2,y,z+1/2'
'-y,-x,-z+1/2'
'y,x,z+1/2'
'-x,y+1/2,-z+1/2'
'x,-y+1/2,z+1/2'
'y+1/2,x+1/2,-z+1/2'
'-y+1/2,-x+1/2,z+1/2'
loop_
_atom_site_label
_atom_site_type_symbol
_atom_site_fract_x
_atom_site_fract_y
_atom_site_fract_z
Sm1 Sm 0.041 0.161 0.122
Sm2 Sm 0.250 0.750 0.000
Ir1 Ir 0.096 0.596 0.750
Ir2 Ir 0.250 0.250 0.380
```